Here is a relaxed CaPrPtAu crystal from Alexandria. Energies are from GGA-PBE.

Output
For the offset from the most stable computed form, the calculation gives 0 meV/atom. The calculation puts the total moment at 0.00 μB/cell. For the density of states at the Fermi level, the calculation gives 2.84 states/eV/f.u. The value obtained for the energy is -4.952 eV/atom.

Unit cell a=4.0073 b=4.4767 c=5.9657 alpha=90.00 beta=109.62 gamma=90.00
Positions (direct):
Ca 0.1408 0.0000 0.2816
Pr 0.8636 0.5000 0.7273
Pt 0.4117 0.0000 0.8235
Au 0.5838 0.5000 0.1677



Here is a relaxed KGaHg11 crystal from Alexandria. Energies are from GGA-PBE.

Output
The calculation puts the total moment at 0.00 μB/cell. For the density of states at the Fermi level, the calculation gives 4.21 states/eV/f.u. The value obtained for the energy is -0.624 eV/atom.

Unit cell a=6.2698 b=7.9865 c=8.3686 alpha=84.10 beta=68.00 gamma=74.06
Positions (direct):
K 0.0000 0.0000 0.0000
Ga 0.5000 0.5000 0.0000
Hg 0.3152 0.2207 0.2150
Hg 0.6848 0.7793 0.7850
Hg 0.4698 0.7793 0.2150
Hg 0.5302 0.2207 0.7850
Hg 0.3271 0.6435 0.6480
Hg 0.6729 0.3565 0.3520
Hg 0.0250 0.3565 0.6480
Hg 0.9750 0.6435 0.3520
Hg 0.0000 0.5000 0.0000
Hg 0.5000 0.0000 0.5000
Hg 0.0000 0.0000 0.5000



Here is a relaxed AcHoTe crystal from Alexandria. Energies are from GGA-PBE.

Output
For the offset from the most stable computed form, the calculation gives 0 meV/atom. Its formation energy from raw total energies is -0.76 eV/atom. The calculation puts the total moment at 0.00 μB/cell. For the density of states at the Fermi level, the calculation gives 3.99 states/eV/f.u. The value obtained for the energy is -4.703 eV/atom.

Unit cell a=4.0103 b=4.0103 c=6.9382 alpha=106.80 beta=106.80 gamma=90.00
Positions (direct):
Ac 0.9984 0.9984 0.9968
Te 0.3084 0.3084 0.6167
Ho 0.6932 0.6932 0.3865